[1]
This record from Alexandria via LeMat-Bulk describes a geometry-optimized Pm3EuB structure. The functional is PBE-GGA.

Computed properties:
Density of states at the Fermi level = 2.06 states/eV per atom
Electronic total energy = -6.13 eV per atom
Volume = 155.3 Å³/cell
Formation enthalpy at 0 K = 0.114 eV/atom

a = 5.3752 Å, b = 5.3752 Å, c = 5.3752 Å
α = 90.00°, β = 90.00°, γ = 90.00°
Closest atoms and distances in Å follow each position.
Positions (direct):
Pm  0.0000  0.0000  0.5000  2 B 2.69
Pm  0.0000  0.5000  0.0000  2 B 2.69
Pm  0.5000  0.0000  0.0000  2 B 2.69
Eu  0.5000  0.5000  0.5000  12 Pm 3.80
B  0.0000  0.0000  0.0000  6 Pm 2.69

[2]
This record from Alexandria via LeMat-Bulk describes a geometry-optimized Ba3Tl13 structure. The functional is PBE-GGA.

Computed properties:
Density of states at the Fermi level = 0.50 states/eV per atom
Electronic total energy = -2.45 eV per atom
Volume = 545.1 Å³/cell
Formation enthalpy at 0 K = -0.168 eV/atom

a = 9.7127 Å, b = 7.5473 Å, c = 7.5473 Å
α = 80.18°, β = 90.00°, γ = 90.00°
Closest atoms and distances in Å follow each position.
Positions (direct):
Ba  0.0000  0.0000  0.0000  10 Tl 3.59-3.85
Ba  0.2681  0.3154  0.3154  11 Tl 3.61-3.84
Ba  0.7319  0.3154  0.3154  11 Tl 3.61-3.84
Tl  0.0000  0.0096  0.5080  5 Tl 3.35-3.57, 3 Ba 3.62-3.70
Tl  0.0000  0.5080  0.0096  5 Tl 3.35-3.57, 3 Ba 3.62-3.70
Tl  0.0000  0.5335  0.5335  8 Tl 3.48-3.61, 2 Ba 3.62
Tl  0.2361  0.7606  0.7606  8 Tl 3.26-3.48, 1 Ba 3.59
Tl  0.2729  0.3106  0.8098  6 Tl 3.28-3.64, 1 Ba 3.67
Tl  0.2729  0.8098  0.3106  6 Tl 3.28-3.64, 1 Ba 3.67
Tl  0.5000  0.0062  0.6085  6 Tl 3.26-3.64
Tl  0.5000  0.0464  0.0464  6 Tl 3.29-3.37
Tl  0.5000  0.5593  0.5593  8 Tl 3.28-3.46, 2 Ba 3.61
Tl  0.5000  0.6085  0.0062  6 Tl 3.26-3.64
Tl  0.7271  0.3106  0.8098  6 Tl 3.28-3.64, 1 Ba 3.67
Tl  0.7271  0.8098  0.3106  6 Tl 3.28-3.64, 1 Ba 3.67
Tl  0.7639  0.7606  0.7606  8 Tl 3.26-3.48, 1 Ba 3.59